# MnW2Br, relaxed, DFT PBE
# crystal system	tetragonal
# magnetization	3.48	Bohr magnetons per cell
# total energy	-32.0	eV per cell
# formation energy (no corrections)	455	kJ/mol of formula units
data_MnW2Br
_space_group_name_H-M_alt 'P 4/m m m'
_space_group_IT_number 123
_space_group_name_Hall '-P 4 2'
_cell_length_a 3.778
_cell_length_b 3.778
_cell_length_c 4.745
_cell_angle_alpha 90.00
_cell_angle_beta 90.00
_cell_angle_gamma 90.00
loop_
_atom_site_label
_atom_site_fract_x
_atom_site_fract_y
_atom_site_fract_z
Mn1 0.000 0.000 0.000
W1 0.000 0.500 0.500
Br1 0.500 0.500 0.000

---

# Mn2WBr, relaxed, DFT PBE
# crystal system	monoclinic
# magnetization	9.34	Bohr magnetons per cell
# total energy	-61.0	eV per cell
# formation energy (no corrections)	239	kJ/mol of formula units
data_Mn2WBr
_space_group_name_H-M_alt 'C 1 2/m 1'
_space_group_IT_number 12
_cell_length_a 7.641
_cell_length_b 3.042
_cell_length_c 7.691
_cell_angle_alpha 90.00
_cell_angle_beta 119.18
_cell_angle_gamma 90.00
loop_
_space_group_symop_operation_xyz
'x,y,z'
'-x,-y,-z'
'-x,y,-z'
'x,-y,z'
'x+1/2,y+1/2,z'
'-x+1/2,-y+1/2,-z'
'-x+1/2,y+1/2,-z'
'x+1/2,-y+1/2,z'
loop_
_atom_site_label
_atom_site_fract_x
_atom_site_fract_y
_atom_site_fract_z
Mn1 0.136 0.000 0.322
W1 0.000 0.500 0.500
Br1 0.000 0.500 0.000

---

# MnWBr, relaxed, DFT PBE
# crystal system	trigonal
# magnetization	0.04	Bohr magnetons per cell
# total energy	-22.2	eV per cell
# formation energy (no corrections)	153	kJ/mol of formula units
data_MnWBr
_space_group_name_H-M_alt 'P 3 m 1'
_space_group_IT_number 156
_cell_length_a 3.2498
_cell_length_b 3.2498
_cell_length_c 5.8428
_cell_angle_alpha 90.00
_cell_angle_beta 90.00
_cell_angle_gamma 120.00
loop_
_space_group_symop_operation_xyz
'x,y,z'
'-y,x-y,z'
'-x+y,-x,z'
'-y,-x,z'
'-x+y,y,z'
'x,x-y,z'
loop_
_atom_site_label
_atom_site_fract_x
_atom_site_fract_y
_atom_site_fract_z
Mn1 0.0000 0.0000 0.0000
W1 0.6667 0.3333 0.2360
Br1 0.3333 0.6667 0.6324

---

# MnW2Br, relaxed, DFT PBE
# crystal system	orthorhombic
# magnetization	1.33	Bohr magnetons per cell
# total energy	-34.1	eV per cell
# formation energy (no corrections)	254	kJ/mol of formula units
data_MnW2Br
_space_group_name_H-M_alt 'P m m m'
_space_group_IT_number 47
_cell_length_a 3.039
_cell_length_b 3.419
_cell_length_c 7.211
_cell_angle_alpha 90.00
_cell_angle_beta 90.00
_cell_angle_gamma 90.00
loop_
_space_group_symop_operation_xyz
'x,y,z'
'-x,-y,-z'
'-x,-y,z'
'x,y,-z'
'x,-y,-z'
'-x,y,z'
'-x,y,-z'
'x,-y,z'
loop_
_atom_site_label
_atom_site_fract_x
_atom_site_fract_y
_atom_site_fract_z
Mn1 0.000 0.000 0.000
W1 0.500 0.500 0.170
Br1 0.000 0.500 0.500

---

# Mn2WBr, relaxed, DFT PBE
# crystal system	tetragonal
# magnetization	0.00	Bohr magnetons per cell
# total energy	-111.4	eV per cell
# formation energy (no corrections)	495	kJ/mol of formula units
data_Mn2WBr
_space_group_name_H-M_alt 'I -4 2 d'
_space_group_IT_number 122
_space_group_name_Hall 'I -4 2bw'
_cell_length_a 5.455
_cell_length_b 5.455
_cell_length_c 10.403
_cell_angle_alpha 90.00
_cell_angle_beta 90.00
_cell_angle_gamma 90.00
loop_
_atom_site_label
_atom_site_fract_x
_atom_site_fract_y
_atom_site_fract_z
Mn1 0.248 0.250 0.125
W1 0.000 0.000 0.500
Br1 0.000 0.000 0.000

---

# MnW2Br, relaxed, DFT PBE
# crystal system	cubic
# magnetization	7.66	Bohr magnetons per cell
# total energy	-129.8	eV per cell
# formation energy (no corrections)	414	kJ/mol of formula units
data_MnW2Br
_space_group_name_H-M_alt 'F m -3 m'
_space_group_IT_number 225
_space_group_name_Hall '-F 4 2 3'
_cell_length_a 6.267
_cell_length_b 6.267
_cell_length_c 6.267
_cell_angle_alpha 90.00
_cell_angle_beta 90.00
_cell_angle_gamma 90.00
loop_
_atom_site_label
_atom_site_fract_x
_atom_site_fract_y
_atom_site_fract_z
Mn1 0.000 0.000 0.000
W1 0.250 0.250 0.250
Br1 0.000 0.000 0.500